1.
An optimized crystal structure of ZrTcAs2Se, computed with GGA-PBE.

abc: 4.6677 4.6677 5.2030
angles: 90.00 90.00 90.00
Space group P4/mmm (No. 123)
Unique sites:
Zr1 0.0000 0.0000 0.0000
Tc1 0.5000 0.5000 0.5000
As1 0.0000 0.5000 0.5000
Se1 0.5000 0.5000 0.0000

Computed properties:
Its calculated density is 6.12 g/cm3. As for the energy above the lowest structure with this stoichiometry: 0.000 eV per atom. As for the calculated volume: 113.4 Å³/cell. As for the formation energy (no corrections): 0.388 eV per atom.

***

2.
An optimized crystal structure of SrMg2CdH, computed with GGA-PBE.

abc: 4.7749 4.7749 4.8781
angles: 90.00 90.00 90.00
Space group P4/mmm (No. 123)
Unique sites:
Sr1 0.0000 0.0000 0.0000
Mg1 0.0000 0.5000 0.5000
Cd1 0.5000 0.5000 0.0000
H1 0.0000 0.0000 0.5000

Computed properties:
Its calculated density is 3.73 g/cm3. As for the calculated volume: 111.2 Å³/cell.

***

3.
An optimized crystal structure of BeSeCl2, computed with GGA-PBE.

abc: 6.0582 7.9637 3.1366
angles: 90.00 90.00 90.00
Space group Cmmm (No. 65)
Unique sites:
Be1 0.0000 0.0000 0.0000
Se1 0.0000 0.5000 0.0000
Cl1 0.2500 0.2500 0.5000

Computed properties:
Its calculated density is 3.49 g/cm3. As for the energy above the lowest structure with this stoichiometry: 1.324 eV per atom. As for the calculated volume: 151.3 Å³/cell. As for the formation energy (no corrections): 0.727 eV per atom.

***

4.
An optimized crystal structure of Sc2CuTcAs, computed with GGA-PBE.

abc: 4.9939 4.9939 4.5069
angles: 90.00 90.00 90.00
Space group P4/mmm (No. 123)
Unique sites:
Sc1 0.0000 0.5000 0.0000
Cu1 0.0000 0.0000 0.5000
Tc1 0.5000 0.5000 0.5000
As1 0.5000 0.5000 0.0000

Computed properties:
Its calculated density is 4.82 g/cm3. As for the energy above the lowest structure with this stoichiometry: 0.000 eV per atom. As for the calculated volume: 112.4 Å³/cell. Its formation energy is 0.29 eV/atom.

***

no.,electronic total energy (Ha/atom)
1,-0.2187
2,-0.0717
3,-0.0735
4,-0.2228